1.
Pr5SmEr: relaxed, GGA-PBE.

Summary:
Energy of formation from the pure elements = 946 meV per atom
Calculated density = 5.26 Mg/m³
Total DFT energy (no corrections) = -3.79 eV/atom
M_tot = 0.00 μB per formula unit
Volume = 322.61 Å³/f.u.

a = 5.9601 Å, b = 8.8505 Å, c = 12.2318 Å
α = 90.00°, β = 90.00°, γ = 90.00°
Space group Immm (No. 71)
Asymmetric unit:
Pr: 0.0000 0.0000 0.0000 (multiplicity 2)
Pr: 0.0000 0.1759 0.5000 (multiplicity 4)
Pr: 0.0000 0.5000 0.2509 (multiplicity 4)
Sm: 0.0000 0.5000 0.5000 (multiplicity 2)
Er: 0.0000 0.5000 0.0000 (multiplicity 2)

2.
Ba12Li2Tl5: relaxed, GGA-PBE.

Summary:
Energy of formation from the pure elements = -137 meV per atom
Calculated density = 4.70 Mg/m³
Total DFT energy (no corrections) = -2.18 eV/atom
M_tot = 0.26 μB per formula unit
Volume = 948.37 Å³/f.u.

a = 18.3878 Å, b = 8.7160 Å, c = 11.9508 Å
α = 90.00°, β = 97.99°, γ = 90.00°
Space group C2/m (No. 12)
Asymmetric unit:
Ba: 0.0176 0.0000 0.2922 (multiplicity 4)
Ba: 0.0699 0.5000 0.8150 (multiplicity 4)
Ba: 0.1484 0.2443 0.5571 (multiplicity 8)
Ba: 0.1927 0.2555 0.1316 (multiplicity 8)
Li: 0.0000 0.1614 0.0000 (multiplicity 4)
Tl: 0.0000 0.5000 0.5000 (multiplicity 2)
Tl: 0.1450 0.0000 0.8932 (multiplicity 4)
Tl: 0.2103 0.0000 0.3543 (multiplicity 4)

3.
PmNd2Ho3Bi6: relaxed, GGA-PBE.

Summary:
Energy of formation from the pure elements = -889 meV per atom
Calculated density = 9.18 Mg/m³
Total DFT energy (no corrections) = -5.16 eV/atom
M_tot = 0.00 μB per formula unit
Volume = 394.52 Å³/f.u.

a = 19.7353 Å, b = 4.5326 Å, c = 9.0576 Å
α = 90.00°, β = 103.13°, γ = 90.00°
Space group C2/m (No. 12)
Asymmetric unit:
Pm: 0.0000 0.0000 0.0000 (multiplicity 2)
Nd: 0.1665 0.5000 0.3330 (multiplicity 4)
Ho: 0.0000 0.0000 0.5000 (multiplicity 2)
Ho: 0.1669 0.5000 0.8332 (multiplicity 4)
Bi: 0.0024 0.5000 0.7458 (multiplicity 4)
Bi: 0.1645 0.0000 0.5887 (multiplicity 4)
Bi: 0.1683 0.0000 0.0773 (multiplicity 4)

4.
Rb2SnO2: relaxed, GGA-PBE.

Summary:
Calculated density = 3.40 Mg/m³
Energy relative to the elements, uncorrected = -6.38 eV/f.u.
Total DFT energy (no corrections) = -4.45 eV/atom
M_tot = 0.00 μB per formula unit
Volume = 157.18 Å³/f.u.

a = 13.6810 Å, b = 4.5146 Å, c = 10.3444 Å
α = 90.00°, β = 100.25°, γ = 90.00°
Space group C2/m (No. 12)
Asymmetric unit:
Rb: 0.0935 0.0000 0.3279 (multiplicity 4)
Rb: 0.1436 0.5000 0.0449 (multiplicity 4)
Sn: 0.1340 0.5000 0.6882 (multiplicity 4)
O: 0.0198 0.5000 0.7827 (multiplicity 4)
O: 0.2454 0.0000 0.1740 (multiplicity 4)

5.
Ac3Si2GePd9: relaxed, GGA-PBE.

Summary:
Calculated density = 9.10 Mg/m³
Energy relative to the elements, uncorrected = -10.82 eV/f.u.
Total DFT energy (no corrections) = -5.69 eV/atom
M_tot = 0.00 μB per formula unit
Volume = 322.49 Å³/f.u.

a = 6.5395 Å, b = 6.5395 Å, c = 8.7074 Å
α = 90.00°, β = 90.00°, γ = 120.00°
Space group P-3m1 (No. 164)
Asymmetric unit:
Ac: 0.0000 0.0000 0.0000 (multiplicity 1)
Ac: 0.3333 0.6667 0.6569 (multiplicity 2)
Si: 0.3333 0.6667 0.1767 (multiplicity 2)
Ge: 0.0000 0.0000 0.5000 (multiplicity 1)
Pd: 0.0000 0.5000 0.0000 (multiplicity 3)
Pd: 0.1482 0.2964 0.2904 (multiplicity 6)

6.
Rb2SbSF3: relaxed, GGA-PBE.

Summary:
Calculated density = 3.54 Mg/m³
Energy relative to the elements, uncorrected = -13.74 eV/f.u.
Total DFT energy (no corrections) = -4.22 eV/atom
M_tot = 0.00 μB per formula unit
Volume = 179.04 Å³/f.u.

a = 4.6781 Å, b = 5.3055 Å, c = 14.4272 Å
α = 90.00°, β = 90.00°, γ = 90.00°
Space group Immm (No. 71)
Asymmetric unit:
Rb: 0.0000 0.0000 0.1543 (multiplicity 4)
Sb: 0.0000 0.0000 0.5000 (multiplicity 2)
S: 0.0000 0.5000 0.5000 (multiplicity 2)
F: 0.0000 0.0000 0.3453 (multiplicity 4)
F: 0.0000 0.5000 0.0000 (multiplicity 2)